VASP calculation (PBE with a Hubbard U) on a relaxed Ba4CaMo3O12 crystal.

abc: 7.2701 7.2701 7.2701
angles: 109.47 109.47 109.47
Atoms (fractional coordinates):
Ba  0.0000  0.0000  0.5000
Ba  0.0000  0.5000  0.0000
Ba  0.5000  0.0000  0.0000
Ba  0.5000  0.5000  0.5000
Ca  0.0000  0.0000  0.0000
Mo  0.0000  0.5000  0.5000
Mo  0.5000  0.0000  0.5000
Mo  0.5000  0.5000  0.0000
O  0.0000  0.2701  0.2701
O  0.0000  0.7299  0.7299
O  0.2500  0.5000  0.7500
O  0.2500  0.7500  0.5000
O  0.2701  0.0000  0.2701
O  0.2701  0.2701  0.0000
O  0.5000  0.2500  0.7500
O  0.5000  0.7500  0.2500
O  0.7299  0.0000  0.7299
O  0.7299  0.7299  0.0000
O  0.7500  0.2500  0.5000
O  0.7500  0.5000  0.2500

Its density is 6.00 g/cm³. The crystal system is cubic. As for the total energy: -137.79 eV/cell.